# 1
GGA-PBE CoMo2PtI, relaxed; formation energy (no corrections) = 7.3 eV per formula unit
1.0
4.469 0.000 0.000
0.000 4.469 0.000
0.000 0.000 4.855
Co Mo Pt I
1 2 1 1
Cartesian
0.000 0.000 0.000
0.000 2.235 0.000
2.235 0.000 0.000
2.235 2.235 2.428
0.000 0.000 2.428

=====

# 2
GGA-PBE CoSbMoI2, relaxed; formation energy (no corrections) = 5.9 eV per formula unit; energy above the most stable polymorph in this dataset = 11.58 kJ per mole of atoms
1.0
5.610 0.000 0.000
0.000 5.610 0.000
0.000 0.000 5.278
Co Sb Mo I
1 1 1 2
Cartesian
0.000 0.000 0.000
2.805 2.805 0.000
2.805 2.805 2.639
0.000 2.805 2.639
2.805 0.000 2.639

=====

It is found that the E_tot values, taken in the order of the records, are -29.030; -19.286 eV for the cell shown.